Mn2Pd8Pt | PBE | optimized geometry

DFT total energy	-6.073	eV per atom
theoretical density	11.122	g cm⁻³
DOS(E_F)	14.77	states/eV per cell
ΔH_f (0 K)	-80	meV/atom
space group	Immm

a = 4.1475 Å, b = 6.9572 Å, c = 7.2247 Å
α = 118.78°, β = 106.68°, γ = 90.00°
Closest atoms and distances in Å follow each position.
Fractional positions:
Mn: 0.8065 0.3065 0.6130  10 Pd 2.62-2.77
Mn: 0.1935 0.6935 0.3870  10 Pd 2.62-2.77
Pd: 0.3440 0.1241 0.6879  3 Mn 2.62-2.65, 1 Pt 2.70, 5 Pd 2.74-2.85
Pt: 0.5000 0.0000 0.0000  12 Pd 2.70-2.95
Pd: 0.6560 0.4362 0.3121  3 Mn 2.62-2.65, 1 Pt 2.70, 5 Pd 2.74-2.85
Pd: 0.6560 0.8759 0.3121  3 Mn 2.62-2.65, 1 Pt 2.70, 5 Pd 2.74-2.85
Pd: 0.1535 0.1535 0.3071  8 Pd 2.74-2.85, 2 Mn 2.77, 2 Pt 2.77
Pd: 0.0000 0.6986 0.0000  2 Mn 2.70, 7 Pd 2.76-2.79, 2 Pt 2.95
Pd: 0.0000 0.3014 0.0000  2 Mn 2.70, 7 Pd 2.76-2.79, 2 Pt 2.95
Pd: 0.3440 0.5638 0.6879  3 Mn 2.62-2.65, 1 Pt 2.70, 5 Pd 2.74-2.85
Pd: 0.8465 0.8465 0.6929  8 Pd 2.74-2.85, 2 Mn 2.77, 2 Pt 2.77

=====

Mn3Pd2Pt3 | PBE | optimized geometry

DFT total energy	-7.301	eV per atom
theoretical density	13.183	g cm⁻³
DOS(E_F)	5.52	states/eV per cell
ΔH_f (0 K)	-299	meV/atom
space group	Immm

a = 3.6878 Å, b = 4.0722 Å, c = 8.5309 Å
α = 103.81°, β = 102.48°, γ = 90.00°
Closest atoms and distances in Å follow each position.
Fractional positions:
Mn: 0.8712 0.8712 0.7424  4 Pd 2.65-2.87, 6 Pt 2.75-2.78, 2 Mn 2.91
Pd: 0.2536 0.7536 0.5073  4 Mn 2.65-2.87, 4 Pd 2.75, 4 Pt 2.81-2.86
Pt: 0.3776 0.3776 0.7552  6 Mn 2.70-2.75, 4 Pd 2.81-2.86, 2 Pt 2.84
Mn: 0.1288 0.1288 0.2576  4 Pd 2.65-2.87, 6 Pt 2.75-2.78, 2 Mn 2.91
Pt: 0.6224 0.6224 0.2448  6 Mn 2.70-2.75, 4 Pd 2.81-2.86, 2 Pt 2.84
Pd: 0.7464 0.2464 0.4927  4 Mn 2.65-2.87, 4 Pd 2.75, 4 Pt 2.81-2.86
Mn: 0.0000 0.5000 0.0000  8 Pt 2.70-2.75, 4 Mn 2.91
Pt: 0.5000 0.0000 0.0000  8 Mn 2.75-2.78, 4 Pt 2.84

=====

MnPd12Pt7 | PBE | optimized geometry

DFT total energy	-5.693	eV per atom
theoretical density	14.256	g cm⁻³
DOS(E_F)	41.04	states/eV per cell
ΔH_f (0 K)	-5	meV/atom
space group	R-3m

a = 6.9867 Å, b = 6.9867 Å, c = 6.9867 Å
α = 102.14°, β = 102.14°, γ = 102.14°
Closest atoms and distances in Å follow each position.
Fractional positions:
Pd: 0.4998 0.2404 0.7595  5 Pt 2.69-2.91, 6 Pd 2.75-2.85
Pd: 0.6677 0.6673 0.9218  6 Pd 2.75-2.85, 1 Mn 2.78, 4 Pt 2.82-2.95
Pt: 0.3175 0.9049 0.9045  3 Pt 2.54-2.71, 1 Mn 2.62, 2 Pd 2.69
Pd: 0.3327 0.0782 0.3323  6 Pd 2.75-2.85, 1 Mn 2.78, 4 Pt 2.82-2.95
Pd: 0.5002 0.7596 0.2405  5 Pt 2.69-2.91, 6 Pd 2.75-2.85
Pd: 0.2404 0.7595 0.4998  5 Pt 2.69-2.91, 6 Pd 2.75-2.85
Pd: 0.3323 0.3327 0.0782  6 Pd 2.75-2.85, 1 Mn 2.78, 4 Pt 2.82-2.95
Pt: 0.5000 0.5000 0.5000  12 Pd 2.82
Pd: 0.7595 0.4998 0.2404  5 Pt 2.69-2.91, 6 Pd 2.75-2.85
Pd: 0.2405 0.5002 0.7596  5 Pt 2.69-2.91, 6 Pd 2.75-2.85
Pd: 0.6673 0.9218 0.6677  6 Pd 2.75-2.85, 1 Mn 2.78, 4 Pt 2.82-2.95
Mn: 0.0000 0.0000 0.0000  6 Pt 2.62, 6 Pd 2.78
Pt: 0.9045 0.3175 0.9049  3 Pt 2.54-2.71, 1 Mn 2.62, 2 Pd 2.69
Pd: 0.0782 0.3323 0.3327  6 Pd 2.75-2.85, 1 Mn 2.78, 4 Pt 2.82-2.95
Pd: 0.9218 0.6677 0.6673  6 Pd 2.75-2.85, 1 Mn 2.78, 4 Pt 2.82-2.95
Pt: 0.0955 0.6825 0.0951  3 Pt 2.54-2.71, 1 Mn 2.62, 2 Pd 2.69
Pt: 0.0951 0.0955 0.6825  3 Pt 2.54-2.71, 1 Mn 2.62, 2 Pd 2.69
Pt: 0.6825 0.0951 0.0955  3 Pt 2.54-2.71, 1 Mn 2.62, 2 Pd 2.69
Pt: 0.9049 0.9045 0.3175  3 Pt 2.54-2.71, 1 Mn 2.62, 2 Pd 2.69
Pd: 0.7596 0.2405 0.5002  5 Pt 2.69-2.91, 6 Pd 2.75-2.85

=====

Mn2Pd3Pt4 | PBE | optimized geometry

DFT total energy	-6.705	eV per atom
theoretical density	14.655	g cm⁻³
DOS(E_F)	10.74	states/eV per cell
ΔH_f (0 K)	-251	meV/atom
space group	C2/m

a = 3.9697 Å, b = 4.8128 Å, c = 8.3082 Å
α = 73.08°, β = 90.05°, γ = 65.67°
Closest atoms and distances in Å follow each position.
Fractional positions:
Mn: 0.3346 0.3308 0.7806  7 Pt 2.74-2.81, 5 Pd 2.76-2.82
Pt: 0.0049 0.9907 0.6694  3 Mn 2.74-2.81, 6 Pd 2.76-2.80, 3 Pt 2.77-2.79
Pd: 0.6673 0.6655 0.5517  3 Pd 2.75-2.78, 3 Mn 2.76-2.82, 6 Pt 2.80-2.81
Pt: 0.3332 0.3335 0.1097  4 Mn 2.74-2.79, 4 Pt 2.77, 4 Pd 2.77-2.81
Pd: 0.3327 0.3345 0.4483  3 Pd 2.75-2.78, 3 Mn 2.76-2.82, 6 Pt 2.80-2.81
Pt: 0.9951 0.0093 0.3306  3 Mn 2.74-2.81, 6 Pd 2.76-2.80, 3 Pt 2.77-2.79
Pt: 0.6668 0.6665 0.8903  4 Mn 2.74-2.79, 4 Pt 2.77, 4 Pd 2.77-2.81
Mn: 0.6654 0.6692 0.2194  7 Pt 2.74-2.81, 5 Pd 2.76-2.82
Pd: 0.0000 0.0000 0.0000  8 Pt 2.76-2.79, 4 Mn 2.77

=====

Mn4PdPt5 | PBE | optimized geometry

DFT total energy	-7.500	eV per atom
theoretical density	14.211	g cm⁻³
DOS(E_F)	6.57	states/eV per cell
ΔH_f (0 K)	-292	meV/atom
space group	P4/mmm

a = 3.2347 Å, b = 3.2347 Å, c = 14.5353 Å
α = 90.00°, β = 90.00°, γ = 90.00°
Closest atoms and distances in Å follow each position.
Fractional positions:
Pt: 0.5000 0.5000 0.7002  8 Mn 2.70-2.75, 2 Pt 2.81-2.91
Mn: 0.0000 0.0000 0.3984  8 Pt 2.70-2.72, 2 Mn 2.95-2.97
Pt: 0.5000 0.5000 0.1065  4 Mn 2.62, 4 Pd 2.76, 1 Pt 2.81
Mn: 0.0000 0.0000 0.8058  8 Pt 2.62-2.75, 1 Pd 2.82
Mn: 0.0000 0.0000 0.1942  8 Pt 2.62-2.75, 1 Pd 2.82
Pd: 0.0000 0.0000 0.0000  8 Pt 2.76, 2 Mn 2.82
Mn: 0.0000 0.0000 0.6016  8 Pt 2.70-2.72, 2 Mn 2.95-2.97
Pt: 0.5000 0.5000 0.5000  8 Mn 2.72, 2 Pt 2.91
Pt: 0.5000 0.5000 0.2998  8 Mn 2.70-2.75, 2 Pt 2.81-2.91
Pt: 0.5000 0.5000 0.8935  4 Mn 2.62, 4 Pd 2.76, 1 Pt 2.81

=====

Mn3Pd2Pt7 | PBE | optimized geometry

DFT total energy	-6.750	eV per atom
theoretical density	14.246	g cm⁻³
DOS(E_F)	11.68	states/eV per cell
ΔH_f (0 K)	-68	meV/atom
space group	P2/m

a = 2.7792 Å, b = 4.6913 Å, c = 15.5866 Å
α = 90.80°, β = 90.00°, γ = 90.00°
Closest atoms and distances in Å follow each position.
Fractional positions:
Pd: 0.5000 0.4927 0.2915  2 Mn 2.62, 4 Pt 2.66-2.80, 2 Pd 2.78
Pd: 0.5000 0.5073 0.7085  2 Mn 2.62, 4 Pt 2.66-2.80, 2 Pd 2.78
Pt: 0.0000 0.6725 0.1460  7 Pt 2.72-2.78, 2 Mn 2.78, 2 Pd 2.80
Pt: 0.5000 0.8290 0.8527  1 Pd 2.69, 8 Pt 2.72-2.79, 1 Mn 2.78
Pt: 0.5000 0.1710 0.1473  1 Pd 2.69, 8 Pt 2.72-2.79, 1 Mn 2.78
Pt: 0.0000 0.3275 0.8540  7 Pt 2.72-2.78, 2 Mn 2.78, 2 Pd 2.80
Mn: 0.0000 0.7751 0.5917  2 Pd 2.62, 6 Pt 2.68-2.88, 2 Mn 2.78
Mn: 0.0000 0.2249 0.4083  2 Pd 2.62, 6 Pt 2.68-2.88, 2 Mn 2.78
Pt: 0.0000 0.0000 0.0000  4 Mn 2.73, 8 Pt 2.76-2.79
Pt: 0.5000 0.2481 0.5560  1 Pd 2.66, 6 Mn 2.68-2.88, 4 Pt 2.78-2.96
Mn: 0.5000 0.5000 0.0000  10 Pt 2.73-2.78, 2 Mn 2.78
Pt: 0.5000 0.7519 0.4440  1 Pd 2.66, 6 Mn 2.68-2.88, 4 Pt 2.78-2.96

=====

MnPdPt3 | PBE | optimized geometry

DFT total energy	-6.341	eV per atom
theoretical density	13.976	g cm⁻³
DOS(E_F)	10.40	states/eV per cell
ΔH_f (0 K)	156	meV/atom
space group	Cmcm

a = 5.4178 Å, b = 5.7968 Å, c = 5.7968 Å
α = 102.97°, β = 90.00°, γ = 90.00°
Closest atoms and distances in Å follow each position.
Fractional positions:
Mn: 0.2500 0.2510 0.7490  4 Pt 2.57-2.71, 2 Pd 2.65
Pd: 0.5000 0.0000 0.0000  6 Pt 2.65-2.68, 2 Mn 2.65, 2 Pd 2.71
Pt: 0.7500 0.2554 0.7446  2 Pt 2.65, 2 Pd 2.68, 2 Mn 2.71
Mn: 0.7500 0.7490 0.2510  4 Pt 2.57-2.71, 2 Pd 2.65
Pd: 0.0000 0.0000 0.0000  6 Pt 2.65-2.68, 2 Mn 2.65, 2 Pd 2.71
Pt: 0.7500 0.6922 0.6779  1 Mn 2.57, 4 Pt 2.65-2.71, 2 Pd 2.65
Pt: 0.2500 0.3078 0.3221  1 Mn 2.57, 4 Pt 2.65-2.71, 2 Pd 2.65
Pt: 0.7500 0.3221 0.3078  1 Mn 2.57, 4 Pt 2.65-2.71, 2 Pd 2.65
Pt: 0.2500 0.6779 0.6922  1 Mn 2.57, 4 Pt 2.65-2.71, 2 Pd 2.65
Pt: 0.2500 0.7446 0.2554  2 Pt 2.65, 2 Pd 2.68, 2 Mn 2.71

=====

MnPd12Pt3 | PBE | optimized geometry

DFT total energy	-5.672	eV per atom
theoretical density	12.984	g cm⁻³
DOS(E_F)	32.55	states/eV per cell
ΔH_f (0 K)	-72	meV/atom
space group	P4/mmm

a = 3.9356 Å, b = 3.9356 Å, c = 15.8311 Å
α = 90.00°, β = 90.00°, γ = 90.00°
Closest atoms and distances in Å follow each position.
Fractional positions:
Pd: 0.5000 0.0000 0.1226  8 Pd 2.76-2.80, 2 Mn 2.76, 2 Pt 2.83
Pd: 0.5000 0.5000 0.5000  4 Pt 2.78, 8 Pd 2.79
Pd: 0.5000 0.0000 0.8774  8 Pd 2.76-2.80, 2 Mn 2.76, 2 Pt 2.83
Pd: 0.5000 0.5000 0.7520  4 Pt 2.78, 8 Pd 2.80-2.81
Pd: 0.0000 0.5000 0.3749  4 Pt 2.78-2.79, 8 Pd 2.78-2.81
Pd: 0.5000 0.5000 0.2480  4 Pt 2.78, 8 Pd 2.80-2.81
Pd: 0.0000 0.5000 0.6251  4 Pt 2.78-2.79, 8 Pd 2.78-2.81
Mn: 0.0000 0.0000 0.0000  12 Pd 2.76-2.78
Pd: 0.0000 0.5000 0.8774  8 Pd 2.76-2.80, 2 Mn 2.76, 2 Pt 2.83
Pd: 0.5000 0.0000 0.3749  4 Pt 2.78-2.79, 8 Pd 2.78-2.81
Pt: 0.0000 0.0000 0.5000  12 Pd 2.78-2.79
Pt: 0.0000 0.0000 0.2508  12 Pd 2.78-2.83
Pd: 0.0000 0.5000 0.1226  8 Pd 2.76-2.80, 2 Mn 2.76, 2 Pt 2.83
Pd: 0.5000 0.5000 0.0000  8 Pd 2.76, 4 Mn 2.78
Pd: 0.5000 0.0000 0.6251  4 Pt 2.78-2.79, 8 Pd 2.78-2.81
Pt: 0.0000 0.0000 0.7492  12 Pd 2.78-2.83

=====

MnPd3Pt2 | PBE | optimized geometry

DFT total energy	-6.177	eV per atom
theoretical density	13.269	g cm⁻³
DOS(E_F)	16.64	states/eV per cell
ΔH_f (0 K)	-39	meV/atom
space group	Cmcm

a = 5.1734 Å, b = 5.4635 Å, c = 7.2988 Å
α = 111.98°, β = 90.00°, γ = 90.00°
Closest atoms and distances in Å follow each position.
Fractional positions:
Pd: 0.7500 0.9283 0.3584  5 Pd 2.67-2.95, 3 Mn 2.69-2.95, 2 Pt 2.75
Pd: 0.7500 0.8489 0.6978  6 Pd 2.67-2.95, 2 Mn 2.73, 4 Pt 2.78
Pd: 0.2500 0.0717 0.6416  5 Pd 2.67-2.95, 3 Mn 2.69-2.95, 2 Pt 2.75
Pd: 0.2500 0.1511 0.3022  6 Pd 2.67-2.95, 2 Mn 2.73, 4 Pt 2.78
Pd: 0.2500 0.5698 0.6416  5 Pd 2.67-2.95, 3 Mn 2.69-2.95, 2 Pt 2.75
Pt: 0.5000 0.7485 0.0000  4 Pt 2.59-2.75, 4 Pd 2.75-2.78, 2 Mn 2.76
Mn: 0.7500 0.3503 0.7006  8 Pd 2.69-2.95, 4 Pt 2.76
Pt: 0.5000 0.2515 0.0000  4 Pt 2.59-2.75, 4 Pd 2.75-2.78, 2 Mn 2.76
Pt: 0.0000 0.2515 0.0000  4 Pt 2.59-2.75, 4 Pd 2.75-2.78, 2 Mn 2.76
Pd: 0.7500 0.4302 0.3584  5 Pd 2.67-2.95, 3 Mn 2.69-2.95, 2 Pt 2.75
Mn: 0.2500 0.6497 0.2994  8 Pd 2.69-2.95, 4 Pt 2.76
Pt: 0.0000 0.7485 0.0000  4 Pt 2.59-2.75, 4 Pd 2.75-2.78, 2 Mn 2.76

=====

Mn2Pd3Pt2 | PBE | optimized geometry

DFT total energy	-6.805	eV per atom
theoretical density	12.799	g cm⁻³
DOS(E_F)	8.57	states/eV per cell
ΔH_f (0 K)	-233	meV/atom
space group	P-1

a = 3.8492 Å, b = 4.8382 Å, c = 7.3795 Å
α = 109.07°, β = 105.18°, γ = 113.45°
Closest atoms and distances in Å follow each position.
Fractional positions:
Pt: 0.2902 0.1519 0.4283  3 Pt 2.74-2.81, 5 Mn 2.75-2.84, 4 Pd 2.78-2.79
Pd: 0.5709 0.2881 0.8540  4 Mn 2.72-2.85, 5 Pd 2.78-2.80, 3 Pt 2.78-2.79
Pt: 0.7098 0.8481 0.5717  3 Pt 2.74-2.81, 5 Mn 2.75-2.84, 4 Pd 2.78-2.79
Mn: 0.1432 0.5693 0.7171  6 Pd 2.72-2.85, 5 Pt 2.75-2.84, 1 Mn 2.84
Mn: 0.8568 0.4307 0.2829  6 Pd 2.72-2.85, 5 Pt 2.75-2.84, 1 Mn 2.84
Pd: 0.4291 0.7119 0.1460  4 Mn 2.72-2.85, 5 Pd 2.78-2.80, 3 Pt 2.78-2.79
Pd: 0.0000 0.0000 0.0000  4 Mn 2.77, 6 Pd 2.78-2.80, 2 Pt 2.79

=====

MnPd4Pt | PBE | optimized geometry

DFT total energy	-6.059	eV per atom
theoretical density	11.834	g cm⁻³
DOS(E_F)	14.97	states/eV per cell
ΔH_f (0 K)	-62	meV/atom
space group	Fddd

a = 5.3637 Å, b = 5.3661 Å, c = 8.0319 Å
α = 99.79°, β = 99.78°, γ = 119.40°
Closest atoms and distances in Å follow each position.
Fractional positions:
Pd: 0.7166 0.4695 0.4339  2 Mn 2.69-2.75, 7 Pd 2.70-2.88, 2 Pt 2.71-2.74
Pd: 0.0356 0.7826 0.0661  2 Mn 2.69-2.75, 7 Pd 2.70-2.88, 2 Pt 2.71-2.74
Pt: 0.8750 0.1250 0.2500  2 Mn 2.71, 8 Pd 2.71-2.74
Pd: 0.2834 0.5305 0.5661  2 Mn 2.69-2.75, 7 Pd 2.70-2.88, 2 Pt 2.71-2.74
Mn: 0.6250 0.3750 0.7500  8 Pd 2.69-2.75, 2 Pt 2.71
Pd: 0.5305 0.2835 0.0661  2 Mn 2.69-2.75, 7 Pd 2.70-2.88, 2 Pt 2.71-2.74
Mn: 0.3750 0.6250 0.2500  8 Pd 2.69-2.75, 2 Pt 2.71
Pt: 0.1250 0.8750 0.7500  2 Mn 2.71, 8 Pd 2.71-2.74
Pd: 0.7826 0.0355 0.5661  2 Mn 2.69-2.75, 7 Pd 2.70-2.88, 2 Pt 2.71-2.74
Pd: 0.2174 0.9645 0.4339  2 Mn 2.69-2.75, 7 Pd 2.70-2.88, 2 Pt 2.71-2.74
Pd: 0.4695 0.7165 0.9339  2 Mn 2.69-2.75, 7 Pd 2.70-2.88, 2 Pt 2.71-2.74
Pd: 0.9644 0.2174 0.9339  2 Mn 2.69-2.75, 7 Pd 2.70-2.88, 2 Pt 2.71-2.74

=====

MnPd2Pt3 | PBE | optimized geometry

DFT total energy	-6.395	eV per atom
theoretical density	14.964	g cm⁻³
DOS(E_F)	15.65	states/eV per cell
ΔH_f (0 K)	-116	meV/atom
space group	C2/c

a = 5.4779 Å, b = 5.4917 Å, c = 6.9931 Å
α = 101.06°, β = 113.06°, γ = 90.00°
Closest atoms and distances in Å follow each position.
Fractional positions:
Pt: 0.2592 0.7500 0.0000  4 Mn 2.68-2.80, 4 Pt 2.75-2.76, 4 Pd 2.78
Mn: 0.7490 0.7500 0.0000  8 Pt 2.68-2.80, 4 Pd 2.78-2.82
Pd: 0.3359 0.4188 0.6784  6 Pt 2.72-2.78, 2 Pd 2.75, 2 Mn 2.78-2.82
Mn: 0.2510 0.2500 0.0000  8 Pt 2.68-2.80, 4 Pd 2.78-2.82
Pt: 0.7408 0.2500 0.0000  4 Mn 2.68-2.80, 4 Pt 2.75-2.76, 4 Pd 2.78
Pd: 0.6641 0.5812 0.3216  6 Pt 2.72-2.78, 2 Pd 2.75, 2 Mn 2.78-2.82
Pt: 0.8480 0.9239 0.6949  4 Pd 2.72-2.76, 2 Mn 2.73, 4 Pt 2.75-2.76
Pd: 0.3425 0.9188 0.6784  6 Pt 2.72-2.78, 2 Pd 2.75, 2 Mn 2.78-2.82
Pd: 0.6575 0.0812 0.3216  6 Pt 2.72-2.78, 2 Pd 2.75, 2 Mn 2.78-2.82
Pt: 0.1520 0.0761 0.3051  4 Pd 2.72-2.76, 2 Mn 2.73, 4 Pt 2.75-2.76
Pt: 0.8469 0.4239 0.6949  4 Pd 2.72-2.76, 2 Mn 2.73, 4 Pt 2.75-2.76
Pt: 0.1531 0.5761 0.3051  4 Pd 2.72-2.76, 2 Mn 2.73, 4 Pt 2.75-2.76